# 1
Here is Y2CrFe after structural relaxation from Alexandria via LeMat-Bulk. Energies are from PBE.

energy relative to the lowest polymorph listed for this composition: 0 meV per atom
space group: No. 160
energy: -30.72 eV per cell
formation energy: 0.29 eV/f.u.

Cell lengths 7.669, 7.669, 7.669 Å; angles 28.45, 28.45, 28.45 degrees
Element x y z (fractional)
Y 0.219 0.219 0.219
Y 0.029 0.029 0.029
Fe 0.799 0.799 0.799
Cr 0.453 0.453 0.453

=====

# 2
Here is Ir8Ru3Pt after structural relaxation from Alexandria via LeMat-Bulk. Energies are from PBE.

space group: No. 121
energy: -93.33 eV per cell
formation energy: 11.43 eV/f.u.

Cell lengths 7.317, 7.317, 7.317 Å; angles 73.44, 129.98, 129.98 degrees
Element x y z (fractional)
Ru 0.500 0.250 0.750
Ru 0.000 0.500 0.500
Ru 0.500 0.750 0.250
Ir 0.000 0.835 0.537
Ir 0.702 0.165 0.165
Ir 0.000 0.140 0.647
Ir 0.000 0.647 0.140
Ir 0.494 0.353 0.353
Ir 0.506 0.860 0.860
Ir 0.298 0.463 0.463
Ir 0.000 0.537 0.835
Pt 0.000 0.000 0.000

=====

# 3
Here is Pm2Pr3Ga4 after structural relaxation from Alexandria via LeMat-Bulk. Energies are from PBE.

energy relative to the lowest polymorph listed for this composition: 69 meV per atom
space group: No. 12
energy: -39.84 eV per cell
formation energy: -3.90 eV/f.u.

Cell lengths 4.572, 6.474, 10.078 Å; angles 116.42, 90.00, 110.68 degrees
Element x y z (fractional)
Pm 0.655 0.311 0.318
Pm 0.345 0.689 0.682
Ga 0.706 0.412 0.040
Ga 0.064 0.127 0.424
Ga 0.936 0.873 0.576
Ga 0.294 0.588 0.960
Pr 0.000 0.000 0.000
Pr 0.640 0.279 0.702
Pr 0.360 0.721 0.298